Here is a geometry-optimized TlReCO2 structure from Alexandria. Energies are from PBE.

extended XYZ file:
```
5
Lattice="-2.933 2.700 0.645 -1.177 -0.365 -3.827 -2.511 -2.981 1.056" Properties=species:S:1:pos:R:3 pbc="T T T"
C 0.000 0.000 0.000
Tl -3.311 -0.323 -1.063
Re -0.588 -0.182 -1.913
O -1.467 1.350 0.322
O -1.256 -1.490 0.528
```

## Properties
Symmetry: No. 123

***

Here is a geometry-optimized Ba2SrSe structure from Alexandria. Energies are from PBE.

extended XYZ file:
```
4
Lattice="-1.369 -2.988 -3.116 -1.593 -4.042 1.279 -11.610 2.036 -0.105" Properties=species:S:1:pos:R:3 pbc="T T T"
Sr -3.643 -1.249 -0.486
Se -10.929 -3.746 -1.457
Ba -8.116 -2.150 -0.930
Ba -10.780 1.689 -0.146
```

## Properties
Symmetry: No. 12

***

no.,E above lowest polymorph (meV/atom),E_form (uncorrected) (eV per atom),N(E_F) (states/eV/cell)
1,1528,1.326,3.1
2,0,-0.926,3.6